<one>
VASP calculation (GGA-PBE) on crystalline Y3Pt2 at its relaxed geometry.

Structure (POSCAR):
```
Y3Pt2
1.0
4.880 0.000 0.000
-2.440 4.227 0.000
0.000 0.000 6.055
Pt Y
2 3
Cartesian
0.000 2.818 4.978
2.440 1.409 1.077
2.440 1.409 4.020
0.000 0.000 0.000
0.000 2.818 2.035
```

Calculated values
volume: 125 Å³/cell
ρ: 8.73 g/cm3
space-group type: P-3m1, No. 164
N(E_F): 0.528 states/eV per atom


<two>
VASP calculation (GGA-PBE) on crystalline Y3Pt2 at its relaxed geometry.

Structure (POSCAR):
```
Y3Pt2
1.0
-0.870 6.419 -7.333
-3.801 7.678 -4.726
0.106 8.857 -4.158
Y Pt
3 2
Cartesian
-1.019 5.124 -3.620
-3.546 17.831 -12.597
0.000 0.000 0.000
-1.792 9.012 -6.367
-2.773 13.943 -9.851
```

Calculated values
volume: 140 Å³/cell
ρ: 7.82 g/cm3
space-group type: R-3m, No. 166
N(E_F): 0.720 states/eV per atom


From most stable to least stable, the computed energies give <one>, <two>.


<one>
VASP calculation (GGA-PBE) on crystalline YZn4Pt at its relaxed geometry.

Structure (POSCAR):
```
YZn4Pt
1.0
4.974 -1.494 0.099
1.207 -5.037 -0.392
2.257 -1.801 -4.318
Zn Pt Y
4 1 1
Cartesian
3.170 -3.130 -1.732
5.644 -3.873 -1.683
4.292 -4.026 -3.879
3.771 -5.635 -1.927
6.329 -6.249 -3.458
0.000 0.000 0.000
```

Calculated values
volume: 99 Å³/cell
ρ: 9.14 g/cm3
space-group type: F-43m, No. 216
N(E_F): 0.853 states/eV per atom


<two>
VASP calculation (GGA-PBE) on crystalline YZn4Pt at its relaxed geometry.

Structure (POSCAR):
```
YZn4Pt
1.0
-2.564 2.361 -2.117
-4.998 -4.424 1.121
-0.628 2.644 7.635
Zn Pt Y
8 2 2
Cartesian
-4.727 0.009 1.808
-6.636 -1.680 2.236
-3.781 -1.032 -0.498
-3.464 0.571 4.831
-1.555 2.260 4.403
-4.179 3.371 4.891
-4.012 -2.791 1.747
-1.282 1.180 -1.059
-4.647 -1.519 3.935
-3.543 2.099 2.704
-1.722 -0.160 1.907
-6.469 0.740 4.732
```

Calculated values
volume: 217 Å³/cell
ρ: 8.37 g/cm3
space-group type: Cmcm, No. 63
N(E_F): 0.521 states/eV per atom


From most stable to least stable, the computed energies give <two>, <one>.


<one>
VASP calculation (GGA-PBE) on crystalline Y2Zn2Pt at its relaxed geometry.

Structure (POSCAR):
```
Y2Zn2Pt
1.0
-5.275 -3.573 2.919
1.569 -5.559 -3.969
2.623 -1.411 3.013
Y Zn Pt
4 4 2
Cartesian
-2.515 -5.422 2.629
1.432 -5.121 -0.666
-0.984 -7.695 0.231
-0.100 -2.848 1.732
-3.104 -2.935 1.328
-0.602 -6.196 -2.377
-0.077 -2.530 -1.118
-3.630 -6.602 0.068
0.000 0.000 0.000
-1.853 -4.566 -0.525
```

Calculated values
volume: 208 Å³/cell
ρ: 8.04 g/cm3
space-group type: P4/mbm, No. 127
N(E_F): 1.233 states/eV per atom


<two>
VASP calculation (GGA-PBE) on crystalline Y2Zn2Pt at its relaxed geometry.

Structure (POSCAR):
```
Y2Zn2Pt
1.0
4.010 0.000 0.000
2.005 5.255 0.074
2.005 0.918 10.286
Zn Y Pt
4 4 2
Cartesian
6.015 4.509 5.679
6.015 1.690 9.212
2.005 4.483 1.148
2.005 1.664 4.682
4.010 3.847 3.468
4.010 2.326 6.893
2.005 1.501 1.243
6.015 4.672 9.118
4.010 5.384 7.091
4.010 0.789 3.269
```

Calculated values
volume: 216 Å³/cell
ρ: 7.73 g/cm3
space-group type: C2/m, No. 12
N(E_F): 0.809 states/eV per atom


From most stable to least stable, the computed energies give <two>, <one>.